(1)
A geometry-optimized Na2CdN structure, computed with PBE.

Values from the calculation:
The value obtained for the total energy is -2.693 eV/atom. As for the uncorrected formation energy: 0.277 eV/atom.

a = 9.885 Å, b = 9.885 Å, c = 4.371 Å
α = 90.00°, β = 90.00°, γ = 90.00°
Space group I-42d (No. 122)
Symmetry-distinct sites (fractional):
Na 0.022 0.750 0.125 x8
Cd 0.000 0.000 0.500 x4
N 0.000 0.000 0.000 x4

(2)
A geometry-optimized NaCdN structure, computed with PBE.

Values from the calculation:
The value obtained for the total energy is -3.194 eV/atom. As for the uncorrected formation energy: 0.326 eV/atom.

a = 7.953 Å, b = 4.009 Å, c = 6.168 Å
α = 90.00°, β = 90.00°, γ = 90.00°
Space group Pnma (No. 62)
Symmetry-distinct sites (fractional):
Na 0.107 0.250 0.140 x4
Cd 0.133 0.250 0.607 x4
N 0.161 0.750 0.376 x4

(3)
A geometry-optimized NaCdN structure, computed with PBE.

Values from the calculation:
The value obtained for the total energy is -3.273 eV/atom. As for the uncorrected formation energy: 0.247 eV/atom.

a = 8.618 Å, b = 8.674 Å, c = 11.241 Å
α = 90.00°, β = 90.00°, γ = 90.00°
Space group Fddd (No. 70, origin choice 2)
Symmetry-distinct sites (fractional):
Na 0.125 0.125 0.251 x16
Cd 0.000 0.000 0.500 x16
N 0.125 0.366 0.125 x16

(4)
A geometry-optimized Na2CdN structure, computed with PBE.

Values from the calculation:
The value obtained for the total energy is -2.276 eV/atom. As for the uncorrected formation energy: 0.694 eV/atom.

a = 6.628 Å, b = 6.628 Å, c = 6.628 Å
α = 90.00°, β = 90.00°, γ = 90.00°
Space group Fm-3m (No. 225)
Symmetry-distinct sites (fractional):
Na 0.250 0.250 0.250 x8
Cd 0.000 0.000 0.000 x4
N 0.000 0.000 0.500 x4